First-principles (PBE) data for crystalline Cr5SnS8 at its relaxed geometry, as listed in Alexandria via LeMat-Bulk.

Geometry as POSCAR:
```
Cr5SnS8
1.0
9.1036 -1.7229 0.0000
9.1036 1.7229 0.0000
-2.1508 0.0000 8.3459
Cr Sn S
5 1 8
direct
0.0000 0.0000 0.0000
0.0436 0.0436 0.3623
0.3595 0.3595 0.3046
0.4085 0.4085 0.6651
0.7007 0.7007 0.3312
0.2358 0.2358 0.7863
0.1247 0.1247 0.1840
0.2751 0.2751 0.4944
0.4656 0.4656 0.1840
0.5298 0.5298 0.8431
0.6173 0.6173 0.5095
0.7862 0.7862 0.1595
0.8750 0.8750 0.8275
0.9391 0.9391 0.4910
```

## Properties
As for the formation energy (no corrections): -0.614 eV/atom. Its space group is Cm.



First-principles (PBE) data for crystalline CrSnS2 at its relaxed geometry, as listed in Alexandria via LeMat-Bulk.

Geometry as POSCAR:
```
CrSnS2
1.0
8.9583 0.0000 0.0000
0.0000 9.1181 0.0000
-3.1390 0.0000 4.4208
Cr Sn S
4 4 8
direct
0.0000 0.0072 0.2500
0.0000 0.9928 0.7500
0.5000 0.4928 0.7500
0.5000 0.5072 0.2500
0.0000 0.4029 0.7500
0.0000 0.5971 0.2500
0.5000 0.0971 0.2500
0.5000 0.9029 0.7500
0.1492 0.1565 0.1331
0.1492 0.8435 0.6331
0.3508 0.3435 0.8669
0.3508 0.6565 0.3669
0.6492 0.3435 0.6331
0.6492 0.6565 0.1331
0.8508 0.1565 0.3669
0.8508 0.8435 0.8669
```

## Properties
As for the formation energy (no corrections): -0.333 eV/atom. Its space group is C2/c.



First-principles (PBE) data for crystalline CrSn2S at its relaxed geometry, as listed in Alexandria via LeMat-Bulk.

Geometry as POSCAR:
```
CrSn2S
1.0
6.7475 0.0000 0.0000
0.0000 6.7475 0.0000
0.0000 0.0000 9.9440
Cr Sn S
4 8 4
direct
0.0000 0.0000 0.0000
0.0000 0.5000 0.2500
0.5000 0.0000 0.7500
0.5000 0.5000 0.5000
0.2415 0.2500 0.6250
0.2500 0.7415 0.8750
0.2500 0.7585 0.3750
0.2585 0.2500 0.1250
0.7415 0.7500 0.1250
0.7500 0.2415 0.3750
0.7500 0.2585 0.8750
0.7585 0.7500 0.6250
0.0000 0.0000 0.5000
0.0000 0.5000 0.7500
0.5000 0.0000 0.2500
0.5000 0.5000 0.0000
```

## Properties
As for the formation energy (no corrections): 0.423 eV/atom. Its space group is I-42d.